No. 1
First-principles (PBE) data for a relaxed structure of Dy4Ho5Cd2, as listed in Alexandria via LeMat-Bulk.

Cell lengths 3.5065, 9.9829, 11.3666 Å; angles 116.05, 98.87, 90.00 degrees
Element x y z (fractional)
Dy1 0.0000 0.2804 0.0000
Ho1 0.8320 0.0702 0.6641
Dy2 0.0000 0.7196 0.0000
Dy3 0.4124 0.4124 0.8247
Ho2 0.8320 0.5939 0.6641
Ho3 0.1680 0.9298 0.3359
Dy4 0.5876 0.5876 0.1753
Ho4 0.1680 0.4061 0.3359
Ho5 0.5000 0.0000 0.0000
Cd1 0.2639 0.2639 0.5279
Cd2 0.7361 0.7361 0.4721

formation enthalpy at 0 K	1.9	eV per formula unit
spin magnetization	0.00	μB/cell

No. 2
First-principles (PBE) data for a relaxed structure of Dy2HoCd4, as listed in Alexandria via LeMat-Bulk.

Cell lengths 5.3153, 5.3153, 7.8419 Å; angles 109.81, 109.81, 90.00 degrees
Element x y z (fractional)
Cd1 0.3855 0.8855 0.7711
Cd2 0.1145 0.6145 0.2289
Cd3 0.6145 0.1145 0.2289
Ho1 0.0000 0.0000 0.0000
Dy1 0.2588 0.2588 0.5175
Dy2 0.7412 0.7412 0.4825
Cd4 0.8855 0.3855 0.7711

formation enthalpy at 0 K	-1.1	eV per formula unit
spin magnetization	0.00	μB/cell

No. 3
First-principles (PBE) data for a relaxed structure of DyHo8Cd2, as listed in Alexandria via LeMat-Bulk.

Cell lengths 5.5333, 8.6834, 8.6834 Å; angles 119.63, 101.04, 101.04 degrees
Element x y z (fractional)
Ho1 0.8855 0.9057 0.6800
Ho2 0.5000 0.7804 0.2196
Ho3 0.1145 0.3200 0.0943
Ho4 0.1145 0.0943 0.3200
Ho5 0.5000 0.2196 0.7804
Cd1 0.0000 0.6938 0.3062
Cd2 0.0000 0.3062 0.6938
Ho6 0.8855 0.6800 0.9057
Ho7 0.2984 0.6007 0.6007
Ho8 0.7016 0.3993 0.3993
Dy1 0.5000 0.0000 0.0000

formation enthalpy at 0 K	0.4	eV per formula unit
spin magnetization	0.00	μB/cell

No. 4
First-principles (PBE) data for a relaxed structure of Dy4HoCd3, as listed in Alexandria via LeMat-Bulk.

Cell lengths 5.3286, 5.3286, 9.4794 Å; angles 73.68, 73.68, 60.00 degrees
Element x y z (fractional)
Dy1 0.1296 0.1296 0.6111
Dy2 0.8704 0.8704 0.3889
Dy3 0.3852 0.3852 0.8445
Cd1 0.2596 0.2596 0.2213
Dy4 0.6148 0.6148 0.1555
Cd2 0.7404 0.7404 0.7787
Ho1 0.0000 0.0000 0.0000
Cd3 0.5000 0.5000 0.5000

formation enthalpy at 0 K	-1.4	eV per formula unit
spin magnetization	0.00	μB/cell